1.
A relaxed ScReTe2N crystal. Source: Alexandria via LeMat-Bulk, functional PBE-GGA.

Calculated values
The uncorrected energy comes out at -5.663 eV per atom. The calculation puts the offset from the most stable computed form at 1013 meV/atom. The value obtained for the total magnetization is 3.859 μB/f.u. The uncorrected formation energy comes out at 1015 meV/atom.

Geometry as POSCAR:
```
ScReTe2N
1.0
5.5888 0.0000 0.0000
0.0000 5.5888 0.0000
0.0000 0.0000 3.8226
Sc Re Te N
1 1 2 1
direct
0.0000 0.0000 0.0000
0.5000 0.5000 0.5000
0.0000 0.5000 0.0000
0.5000 0.0000 0.0000
0.0000 0.0000 0.5000
```


2.
A relaxed TePdN3 crystal. Source: Alexandria via LeMat-Bulk, functional PBE-GGA.

Calculated values
The uncorrected energy comes out at -4.718 eV per atom. The value obtained for the total magnetization is 2.594 μB/f.u. The uncorrected formation energy comes out at 1944 meV/atom.

Geometry as POSCAR:
```
TePdN3
1.0
3.9806 0.0000 0.0000
0.0000 3.9806 0.0000
0.0000 0.0000 3.9806
Te Pd N
1 1 3
direct
0.0000 0.0000 0.0000
0.5000 0.5000 0.5000
0.0000 0.0000 0.5000
0.0000 0.5000 0.0000
0.5000 0.0000 0.0000
```